Compound: Sr2Tc
Source: Alexandria via LeMat-Bulk
Functional: GGA-PBE
Structure: relaxed

Structure (POSCAR):
```
Sr2Tc
1.0
3.6572 0.0000 0.0000
0.0000 3.6572 0.0000
0.0000 0.0000 15.0469
Sr Tc
4 2
Direct
0.0000 0.0000 0.1276
0.0000 0.0000 0.8724
0.5000 0.5000 0.3724
0.5000 0.5000 0.6276
0.0000 0.0000 0.5000
0.5000 0.5000 0.0000
```

Calculated values
relative energy among the computed polymorphs: 483.1 meV/atom
symmetry: No. 139
energy of formation from the pure elements: 761 meV/atom
final energy: -3.8153 eV/atom